1.
Computed, not measured: a relaxed structure of SrGe2Pt4 at the PBE-GGA level of DFT.

```
SrGe2Pt4
1.0
4.2401 0.0000 0.0000
0.0000 4.2316 0.0000
0.0000 -2.1158 7.2628
Pt Ge Sr
4 2 1
Direct
0.0000 0.3214 0.6428
0.5000 0.1806 0.3612
0.0000 0.6786 0.3572
0.5000 0.8194 0.6388
0.5000 0.4080 0.8160
0.5000 0.5920 0.1840
0.0000 0.0000 0.0000
```

Results
The calculated formation energy is -56 kJ/mol of atoms.

=====

2.
Computed, not measured: a relaxed structure of Pm2Ir9Rh at the PBE-GGA level of DFT.

```
Pm2Ir9Rh
1.0
-1.5893 -4.8563 -1.3378
3.1815 -4.1374 0.8121
-2.9288 -4.0802 7.8634
Ir Rh Pm
9 1 2
Direct
0.3334 0.3334 0.9997
0.6666 0.6666 0.0003
0.4190 0.9184 0.2436
0.0816 0.5810 0.7564
0.9184 0.4190 0.2436
0.5810 0.0816 0.7564
0.5810 0.5810 0.7564
0.4190 0.4190 0.2436
0.5000 0.5000 0.5000
0.0000 0.0000 0.0000
0.8646 0.8646 0.4063
0.1354 0.1354 0.5937
```

Results
The calculated formation energy is -10 kJ/mol of atoms.

=====

3.
Computed, not measured: a relaxed structure of Ho2Ga4CuPt3 at the PBE-GGA level of DFT.

```
Ho2Ga4CuPt3
1.0
4.0902 0.0000 0.0000
0.0000 4.0902 0.0000
0.0000 0.0000 10.9925
Ga Pt Ho Cu
4 3 2 1
Direct
0.0000 0.5000 0.3693
0.5000 0.5000 0.0000
0.0000 0.0000 0.0000
0.5000 0.0000 0.6307
0.0000 0.5000 0.1433
0.0000 0.0000 0.5000
0.5000 0.0000 0.8567
0.0000 0.5000 0.7496
0.5000 0.0000 0.2504
0.5000 0.5000 0.5000
```

Results
The calculated formation energy is -80 kJ/mol of atoms.

=====

4.
Computed, not measured: a relaxed structure of NdSc2Ga6 at the PBE-GGA level of DFT.

```
NdSc2Ga6
1.0
-2.0205 0.5349 -3.0146
5.8826 3.0795 -3.3963
-1.1785 -7.3465 -0.5137
Ga Nd Sc
6 1 2
Direct
0.5000 0.6622 0.0000
0.5000 0.3378 0.0000
0.5000 0.3378 0.3378
0.5000 0.0000 0.6622
0.5000 0.6622 0.6622
0.5000 0.0000 0.3378
0.0000 0.0000 0.0000
0.0000 0.6667 0.3333
0.0000 0.3333 0.6667
```

Results
The calculated formation energy is -52 kJ/mol of atoms.

=====

5.
Computed, not measured: a relaxed structure of FeRhSe at the PBE-GGA level of DFT.

```
FeRhSe
1.0
-1.2166 -1.4922 3.7112
-0.4557 -4.1195 0.5493
2.7054 -2.1012 2.3970
Rh Fe Se
1 1 1
Direct
0.7500 0.7500 0.7500
0.5000 0.5000 0.5000
0.0000 0.0000 0.0000
```

Results
The value obtained for the raw formation energy is 0.060 eV per atom.

=====

6.
Computed, not measured: a relaxed structure of SmMgZnPb at the PBE-GGA level of DFT.

```
SmMgZnPb
1.0
-0.3116 4.3274 -0.7445
-1.1027 -0.8462 -4.4568
-4.5774 -0.1305 1.1573
Zn Sm Pb Mg
1 1 1 1
Direct
0.0000 0.0000 0.0000
0.5000 0.0000 0.5000
0.0000 0.5000 0.5000
0.5000 0.5000 0.0000
```

Results
The calculated formation energy is -31 kJ/mol of atoms.

=====

7.
Computed, not measured: a relaxed structure of SrLa2Cu2O6 at the PBE-GGA level of DFT.

```
SrLa2Cu2O6
1.0
-5.3794 -8.8632 -0.0787
-0.8940 -9.9170 2.8905
1.8167 10.1711 0.8654
Sr La O Cu
1 2 6 2
Direct
0.0000 0.0000 0.0000
0.1775 0.1775 0.0000
0.8225 0.8225 0.0000
0.7075 0.7075 0.0000
0.9110 0.4110 0.5000
0.4110 0.9110 0.5000
0.0890 0.5890 0.5000
0.2925 0.2925 0.0000
0.5890 0.0890 0.5000
0.4106 0.4106 0.0000
0.5894 0.5894 0.0000
```

Results
The value obtained for the raw formation energy is -2.273 eV per atom.

=====

8.
Computed, not measured: a relaxed structure of KO3F at the PBE-GGA level of DFT.

```
KO3F
1.0
4.3838 0.0000 0.0000
0.0000 4.3838 0.0000
0.0000 0.0000 4.3838
F O K
1 3 1
Direct
0.5000 0.5000 0.5000
0.5000 0.5000 0.0000
0.0000 0.5000 0.5000
0.5000 0.0000 0.5000
0.0000 0.0000 0.0000
```

Results
The value obtained for the raw formation energy is 0.652 eV per atom.

=====

9.
Computed, not measured: a relaxed structure of AgOsIN2 at the PBE-GGA level of DFT.

```
AgOsIN2
1.0
-3.6231 1.3582 -0.2836
0.2494 -0.5937 -6.0309
-1.3783 -3.6143 0.2988
N Os Ag I
2 1 1 1
Direct
0.5000 0.0000 0.0000
0.0000 0.0000 0.5000
0.0000 0.0000 0.0000
0.5000 0.5000 0.5000
0.0000 0.5000 0.0000
```

Results
The value obtained for the raw formation energy is 0.767 eV per atom.

=====

10.
Computed, not measured: a relaxed structure of SmHo2In9 at the PBE-GGA level of DFT.

```
SmHo2In9
1.0
-2.3864 -1.5732 3.6669
3.9819 -0.6657 2.3058
-0.7647 12.9585 5.0619
In Ho Sm
9 2 1
Direct
0.0000 0.5000 0.1692
0.5000 0.0000 0.5000
0.5000 0.5000 0.6662
0.5000 0.5000 0.3338
0.5000 0.0000 0.8308
0.5000 0.0000 0.1692
0.5000 0.5000 0.0000
0.0000 0.5000 0.5000
0.0000 0.5000 0.8308
0.0000 0.0000 0.3344
0.0000 0.0000 0.6656
0.0000 0.0000 0.0000
```

Results
The calculated formation energy is -40 kJ/mol of atoms.

=====

11.
Computed, not measured: a relaxed structure of PuZrTl at the PBE-GGA level of DFT.

```
PuZrTl
1.0
-3.0328 -0.5302 -0.8792
0.9052 -2.6747 -1.5095
-0.0369 -2.2107 7.2911
Tl Zr Pu
1 1 1
Direct
0.0049 0.0049 0.0099
0.6639 0.6639 0.3277
0.3312 0.3312 0.6624
```

Results
The calculated formation energy is 6 kJ/mol of atoms.

=====

12.
Computed, not measured: a relaxed structure of La5PrHg6 at the PBE-GGA level of DFT.

```
La5PrHg6
1.0
5.2160 -0.0312 1.7383
0.0423 7.8581 0.0141
-0.0028 -0.0156 8.7033
La Hg Pr
5 6 1
Direct
0.3324 0.5000 0.3352
0.6664 0.0000 0.6671
0.6676 0.5000 0.6648
0.0000 0.5000 0.0000
0.3336 0.0000 0.3329
0.1656 0.2482 0.6687
0.8344 0.7518 0.3313
0.5000 0.2483 0.0000
0.8343 0.2482 0.3313
0.5000 0.7517 0.0000
0.1657 0.7518 0.6687
0.0000 0.0000 0.0000
```

Results
The calculated formation energy is -48 kJ/mol of atoms.

=====

13.
Computed, not measured: a relaxed structure of ZrTlAu2 at the PBE-GGA level of DFT.

```
ZrTlAu2
1.0
-2.1569 2.2023 4.5029
-2.4203 -3.8087 3.0682
4.8964 1.0907 -2.1479
Zr Tl Au
1 1 2
Direct
0.7528 0.2528 0.5000
0.4911 0.4911 0.0000
0.0063 0.0063 0.0000
0.2498 0.7498 0.5000
```

Results
The calculated formation energy is -12 kJ/mol of atoms.

=====

14.
Computed, not measured: a relaxed structure of NaAcAlSn at the PBE-GGA level of DFT.

```
NaAcAlSn
1.0
-4.4466 -0.7596 -3.1605
-0.2110 -4.2664 -3.4772
-3.4085 -4.2078 1.0073
Sn Al Ac Na
1 1 1 1
Direct
0.2500 0.2500 0.2500
0.7500 0.7500 0.7500
0.0000 0.0000 0.0000
0.5000 0.5000 0.5000
```

Results
The calculated formation energy is -17 kJ/mol of atoms.

=====

15.
Computed, not measured: a relaxed structure of SmMnN at the PBE-GGA level of DFT.

```
SmMnN
1.0
3.3385 0.0000 0.0000
0.0000 3.3762 0.0000
-1.6693 0.0000 8.2324
N Sm Mn
2 2 2
Direct
0.6840 0.7500 0.3681
0.3160 0.2500 0.6319
0.8965 0.7500 0.7930
0.1035 0.2500 0.2070
0.7505 0.2500 0.5010
0.2495 0.7500 0.4990
```

Results
The value obtained for the raw formation energy is -0.403 eV per atom.

=====

16.
Computed, not measured: a relaxed structure of Ac2MgVS6 at the PBE-GGA level of DFT.

```
Ac2MgVS6
1.0
-2.4078 6.0741 0.8764
-2.2055 0.1051 -6.7874
-8.3565 -3.7291 2.6576
S Ac Mg V
12 4 2 2
Direct
0.3183 0.7044 0.4559
0.3010 0.6859 0.0436
0.1990 0.1859 0.4564
0.8183 0.7956 0.9559
0.4145 0.9912 0.7415
0.9145 0.5088 0.2415
0.5855 0.0088 0.2585
0.0855 0.4912 0.7585
0.1817 0.2044 0.0441
0.8010 0.8141 0.5436
0.6817 0.2956 0.5441
0.6990 0.3141 0.9564
0.4719 0.4123 0.2500
0.9719 0.0877 0.7500
0.5281 0.5877 0.7500
0.0281 0.9123 0.2500
0.5000 0.0000 0.0000
0.0000 0.5000 0.5000
0.5000 0.0000 0.5000
0.0000 0.5000 0.0000
```

Results
The value obtained for the raw formation energy is -1.595 eV per atom.

=====

17.
Computed, not measured: a relaxed structure of BaHfTl2F8 at the PBE-GGA level of DFT.

```
BaHfTl2F8
1.0
4.5858 -0.2354 -0.0021
-0.2051 6.5314 -0.0076
0.0043 0.0091 8.0385
F Tl Ba Hf
8 2 1 1
Direct
0.6232 0.8240 0.0000
0.4957 0.2366 0.5000
0.9006 0.1851 0.1922
0.5043 0.7634 0.5000
0.9006 0.1852 0.8078
0.0994 0.8149 0.8078
0.3768 0.1760 0.0000
0.0994 0.8148 0.1922
0.5000 0.5000 0.2446
0.5000 0.5000 0.7554
0.0000 0.0000 0.5000
0.0000 0.0000 0.0000
```

Results
The value obtained for the raw formation energy is -3.160 eV per atom.

=====

18.
Computed, not measured: a relaxed structure of Sm4TmTe5 at the PBE-GGA level of DFT.

```
Sm4TmTe5
1.0
-3.0552 0.8241 -3.0025
0.4789 -4.0321 -1.5941
-10.0377 -3.7198 12.3619
Te Sm Tm
5 4 1
Direct
0.5000 0.5000 0.0000
0.2932 0.2932 0.5863
0.0926 0.0926 0.1852
0.7068 0.7068 0.4137
0.9074 0.9074 0.8148
0.1889 0.1889 0.3779
0.8111 0.8111 0.6221
0.6075 0.6075 0.2150
0.3925 0.3925 0.7850
0.0000 0.0000 0.0000
```

Results
The value obtained for the raw formation energy is -1.345 eV per atom.

=====

19.
Computed, not measured: a relaxed structure of KBa2Sb2 at the PBE-GGA level of DFT.

```
KBa2Sb2
1.0
-4.5263 2.3470 -3.9297
0.5300 -5.2207 -3.7285
-6.4088 -4.2941 -0.4552
Sb Ba K
2 2 1
Direct
0.2500 0.7500 0.5000
0.7500 0.2500 0.5000
0.6705 0.6705 0.6589
0.3295 0.3295 0.3411
0.0000 0.0000 0.0000
```

Results
The value obtained for the raw formation energy is -0.520 eV per atom.

=====

20.
Computed, not measured: a relaxed structure of GdTh2Be at the PBE-GGA level of DFT.

```
GdTh2Be
1.0
3.4026 0.0000 0.0000
1.7013 2.9467 0.0000
1.7013 0.9822 11.8310
Th Gd Be
2 1 1
Direct
0.0821 0.0821 0.7538
0.9179 0.9179 0.2462
0.5000 0.5000 0.5000
0.0000 0.0000 0.0000
```

Results
The calculated formation energy is 72 kJ/mol of atoms.

=====

21.
Computed, not measured: a relaxed structure of CrRe2Hg at the PBE-GGA level of DFT.

```
CrRe2Hg
1.0
2.9754 0.0000 0.0000
0.0000 2.9754 0.0000
0.0000 0.0000 7.4075
Re Cr Hg
2 1 1
Direct
0.0000 0.0000 0.0377
0.5000 0.5000 0.2463
0.0000 0.0000 0.4731
0.5000 0.5000 0.7429
```

Results
The calculated formation energy is 42 kJ/mol of atoms.

=====

22.
Computed, not measured: a relaxed structure of PuPaTaNb at the PBE-GGA level of DFT.

```
PuPaTaNb
1.0
-1.0930 -0.6621 -4.7235
1.6515 -3.9542 -2.3625
-3.1111 -3.5393 -1.3186
Nb Pu Ta Pa
1 1 1 1
Direct
0.0000 0.0000 0.0000
0.5000 0.5000 0.5000
0.2500 0.2500 0.2500
0.7500 0.7500 0.7500
```

Results
The calculated formation energy is 14 kJ/mol of atoms.

=====

23.
Computed, not measured: a relaxed structure of Li2EuH4 at the PBE-GGA level of DFT.

```
Li2EuH4
1.0
4.5069 0.0000 0.0000
0.0000 4.5069 0.0000
2.2534 2.2534 5.5737
H Li Eu
4 2 1
Direct
0.2002 0.2002 0.5996
0.0000 0.5000 0.0000
0.5000 0.0000 0.0000
0.7998 0.7998 0.4004
0.6470 0.6470 0.7061
0.3530 0.3530 0.2939
0.0000 0.0000 0.0000
```

=====

24.
Computed, not measured: a relaxed structure of Pm6Pr6Nd at the PBE-GGA level of DFT.

```
Pm6Pr6Nd
1.0
6.8219 -0.0004 0.0000
-3.4105 5.9082 0.0000
0.0000 0.0000 11.6749
Pm Pr Nd
6 6 1
Direct
0.3333 0.6667 0.5000
0.6667 0.3333 0.0000
0.0000 0.0000 0.3547
0.3333 0.6667 0.0000
0.6667 0.3333 0.5000
0.0000 0.0000 0.6453
0.5000 0.5000 0.7504
0.0000 0.5000 0.2496
0.5000 0.0000 0.2496
0.5000 0.5000 0.2496
0.0000 0.5000 0.7504
0.5000 0.0000 0.7504
0.0000 0.0000 0.0000
```

Results
The calculated formation energy is 25 kJ/mol of atoms.

=====

25.
Computed, not measured: a relaxed structure of BaTe2H at the PBE-GGA level of DFT.

```
BaTe2H
1.0
2.9466 0.0000 5.5375
-1.4733 2.5519 5.5375
-1.4733 -2.5519 5.5375
Ba Te H
1 2 1
Direct
0.0000 0.0000 0.0000
0.2084 0.2084 0.2084
0.7916 0.7916 0.7916
0.5000 0.5000 0.5000
```

=====

In order of appearance, magnetic moment = 0.00 1.22 0.00 0.00 4.13 0.00 0.00 6.03 0.00 0.00 5.19 2.38 0.00 0.00 0.00 1.00 0.00 0.00 0.00 7.27 2.97 5.17 6.95 0.00 0.00 μB/f.u..
In order of appearance, density = 12.91 16.55 11.35 6.13 7.64 7.65 6.51 2.09 8.24 8.35 12.01 9.49 13.75 5.56 7.85 5.35 6.06 7.65 3.58 8.82 15.83 15.01 2.49 6.56 5.23 Mg/m³.
In order of appearance, VASP energy = -5.59 -8.15 -5.18 -4.50 -6.37 -3.14 -6.77 -2.92 -5.69 -3.63 -8.36 -3.10 -4.49 -3.47 -7.81 -5.96 -5.79 -5.25 -3.16 -7.42 -8.27 -11.29 -4.05 -4.51 -2.98 eV/atom.